Entry 1:
# LaGa2Ag2

A relaxed LaGa2Ag2 crystal (GGA-PBE, Alexandria).

## Properties
Volume, A^3/atom: 21.78
DFT formation energy, meV/atom: -416
Size of the total moment, μB/cell: 0.00
Calculated density, g cm⁻³: 7.53
Electronic total energy, eV per atom: -3.75
Crystal system: tetragonal

Structure (POSCAR):
```
LaGa2Ag2
1.0
-2.7603 -1.8174 3.0910
0.1430 -3.9535 -2.1968
2.9023 -4.3456 3.3490
Ga Ag La
2 2 1
direct
0.3837 0.3837 0.2327 Ga
0.6163 0.6163 0.7673 Ga
0.7500 0.2500 0.5000 Ag
0.2500 0.7500 0.5000 Ag
0.0000 0.0000 0.0000 La
```

Entry 2:
# La6GaAg

A relaxed La6GaAg crystal (GGA-PBE, Alexandria).

## Properties
Volume, A^3/atom: 31.94
DFT formation energy, meV/atom: -196
Size of the total moment, μB/cell: 0.00
Calculated density, g cm⁻³: 6.57
Electronic total energy, eV per atom: -4.63
Crystal system: tetragonal

Structure (POSCAR):
```
La6GaAg
1.0
9.0011 2.0639 -2.3551
6.2877 6.7446 -2.4074
2.4810 1.4886 4.5716
La Ga Ag
6 1 1
direct
0.2537 0.2535 0.7462 La
0.8943 0.8942 0.6058 La
0.3943 0.3943 0.1058 La
0.1057 0.1058 0.3942 La
0.7463 0.7465 0.2538 La
0.6057 0.6057 0.8942 La
0.5000 0.5000 0.5000 Ga
0.0000 0.0000 0.0000 Ag
```

Entry 3:
# La6Ga5Ag

A relaxed La6Ga5Ag crystal (GGA-PBE, Alexandria).

## Properties
Volume, A^3/atom: 27.15
DFT formation energy, meV/atom: -509
Size of the total moment, μB/cell: 0.00
Calculated density, g cm⁻³: 6.58
Electronic total energy, eV per atom: -4.47
Crystal system: monoclinic

Structure (POSCAR):
```
La6Ga5Ag
1.0
-4.7611 -2.1092 1.2386
-1.0616 4.4252 -8.0774
6.2239 -6.8290 0.7629
Ag Ga La
1 5 6
direct
0.0000 0.0000 0.0000 Ag
0.5000 0.1632 0.8368 Ga
0.0000 0.3337 0.6663 Ga
0.5000 0.5000 0.5000 Ga
0.0000 0.6663 0.3337 Ga
0.5000 0.8368 0.1632 Ga
0.2518 0.0835 0.4202 La
0.7482 0.5798 0.9165 La
0.7545 0.2544 0.2544 La
0.2455 0.7456 0.7456 La
0.2518 0.4202 0.0835 La
0.7482 0.9165 0.5798 La
```

Entry 4:
# La6GaAg3

A relaxed La6GaAg3 crystal (GGA-PBE, Alexandria).

## Properties
Volume, A^3/atom: 29.31
DFT formation energy, meV/atom: -245
Size of the total moment, μB/cell: 0.00
Calculated density, g cm⁻³: 6.95
Electronic total energy, eV per atom: -4.36
Crystal system: monoclinic

Structure (POSCAR):
```
La6GaAg3
1.0
-4.7717 -2.1399 0.5222
3.3877 -5.8867 6.8326
-3.6532 9.6199 6.0392
La Ga Ag
12 2 6
direct
0.2500 0.5090 0.0994 La
0.7500 0.4910 0.9006 La
0.2500 0.1129 0.1576 La
0.7500 0.8871 0.8424 La
0.2500 0.6506 0.6912 La
0.7500 0.3494 0.3088 La
0.2500 0.2472 0.4954 La
0.7500 0.7528 0.5046 La
0.2500 0.8592 0.3502 La
0.7500 0.1408 0.6498 La
0.2500 0.1239 0.8862 La
0.7500 0.8761 0.1138 La
0.2500 0.9475 0.6274 Ga
0.7500 0.0525 0.3726 Ga
0.2500 0.5335 0.3796 Ag
0.7500 0.4665 0.6204 Ag
0.2500 0.3674 0.7647 Ag
0.7500 0.6326 0.2353 Ag
0.2500 0.7702 0.9660 Ag
0.7500 0.2298 0.0340 Ag
```

Entry 5:
# La2Ga2Ag

A relaxed La2Ga2Ag crystal (GGA-PBE, Alexandria).

## Properties
Volume, A^3/atom: 25.32
DFT formation energy, meV/atom: -481
Size of the total moment, μB/cell: 0.00
Offset from the most stable computed form, meV/atom: 43
Calculated density, g cm⁻³: 6.89
Electronic total energy, eV per atom: -4.23
Crystal system: tetragonal

Structure (POSCAR):
```
La2Ga2Ag
1.0
-3.2294 6.2753 -1.8004
-6.0542 -2.1271 3.4455
1.6010 1.9821 4.0368
Ga Ag La
4 2 4
direct
0.3666 0.8666 0.0000 Ga
0.8666 0.6334 0.0000 Ga
0.6334 0.1334 0.0000 Ga
0.1334 0.3666 0.0000 Ga
0.0000 0.0000 0.0000 Ag
0.5000 0.5000 0.0000 Ag
0.1684 0.6684 0.5000 La
0.6684 0.8316 0.5000 La
0.8316 0.3316 0.5000 La
0.3316 0.1684 0.5000 La
```

Entry 6:
# LaGa5Ag7

A relaxed LaGa5Ag7 crystal (GGA-PBE, Alexandria).

## Properties
Volume, A^3/atom: 18.67
DFT formation energy, meV/atom: -162
Size of the total moment, μB/cell: 0.00
Calculated density, g cm⁻³: 8.50
Electronic total energy, eV per atom: -3.24
Crystal system: orthorhombic

Structure (POSCAR):
```
LaGa5Ag7
1.0
-2.1320 2.3326 4.4213
-6.1405 3.4931 -1.4640
-4.4956 -4.4220 3.5052
La Ga Ag
1 5 7
direct
0.0007 0.9993 0.9993 La
0.4992 0.0013 0.4959 Ga
0.0036 0.0013 0.4959 Ga
0.4992 0.4959 0.0013 Ga
0.0036 0.4959 0.0013 Ga
0.7209 0.7791 0.7791 Ga
0.6486 0.3514 0.3514 Ag
0.3439 0.6561 0.6561 Ag
0.9966 0.3529 0.6540 Ag
0.9966 0.6540 0.3529 Ag
0.2806 0.2194 0.2194 Ag
0.5033 0.7818 0.2116 Ag
0.5033 0.2116 0.7818 Ag
```

Which of these has the lowest electronic total energy?
La6GaAg

Repeat the third record exactly.
# La6Ga5Ag

A relaxed La6Ga5Ag crystal (GGA-PBE, Alexandria).

## Properties
Volume, A^3/atom: 27.15
DFT formation energy, meV/atom: -509
Size of the total moment, μB/cell: 0.00
Calculated density, g cm⁻³: 6.58
Electronic total energy, eV per atom: -4.47
Crystal system: monoclinic

Structure (POSCAR):
```
La6Ga5Ag
1.0
-4.7611 -2.1092 1.2386
-1.0616 4.4252 -8.0774
6.2239 -6.8290 0.7629
Ag Ga La
1 5 6
direct
0.0000 0.0000 0.0000 Ag
0.5000 0.1632 0.8368 Ga
0.0000 0.3337 0.6663 Ga
0.5000 0.5000 0.5000 Ga
0.0000 0.6663 0.3337 Ga
0.5000 0.8368 0.1632 Ga
0.2518 0.0835 0.4202 La
0.7482 0.5798 0.9165 La
0.7545 0.2544 0.2544 La
0.2455 0.7456 0.7456 La
0.2518 0.4202 0.0835 La
0.7482 0.9165 0.5798 La
```

Which of these has the lowest volume?
LaGa5Ag7

Please write out number 1 again, unchanged.
# LaGa2Ag2

A relaxed LaGa2Ag2 crystal (GGA-PBE, Alexandria).

## Properties
Volume, A^3/atom: 21.78
DFT formation energy, meV/atom: -416
Size of the total moment, μB/cell: 0.00
Calculated density, g cm⁻³: 7.53
Electronic total energy, eV per atom: -3.75
Crystal system: tetragonal

Structure (POSCAR):
```
LaGa2Ag2
1.0
-2.7603 -1.8174 3.0910
0.1430 -3.9535 -2.1968
2.9023 -4.3456 3.3490
Ga Ag La
2 2 1
direct
0.3837 0.3837 0.2327 Ga
0.6163 0.6163 0.7673 Ga
0.7500 0.2500 0.5000 Ag
0.2500 0.7500 0.5000 Ag
0.0000 0.0000 0.0000 La
```